A geometry-optimized Sr2Cd2Cl structure, computed with PBE.

Values from the calculation:
* distance to the lowest polymorph of the same formula: 180 meV/atom
* formation energy from raw total energies: -54.66 kJ/mol of atoms
* total moment: 0.00 Bohr magnetons per cell
* E: -1.97 eV/atom
* crystal system: tetragonal

Cell lengths 8.9332, 8.9332, 4.2978 Å; angles 90.00, 90.00, 90.00 degrees
With the nearest neighbours (Å) after each atom.
Space group P4/mbm (No. 127)
Unique sites:
1 Sr 0.1782 0.3218 0.0000 (multiplicity 4)  6 Cd 3.37-3.44
2 Cd 0.1168 0.6168 0.5000 (multiplicity 4)  1 Cd 2.95
3 Cl 0.0000 0.0000 0.5000 (multiplicity 2)  4 Cd 3.58, 8 Sr 3.93

=====

A geometry-optimized Sr2CdCl structure, computed with PBE.

Values from the calculation:
* distance to the lowest polymorph of the same formula: 37 meV/atom
* formation energy from raw total energies: -92.34 kJ/mol of atoms
* total moment: 0.00 Bohr magnetons per cell
* E: -2.49 eV/atom
* crystal system: monoclinic

Cell lengths 7.5635, 4.3479, 8.8090 Å; angles 90.00, 106.69, 90.00 degrees
With the nearest neighbours (Å) after each atom.
Space group C2/m (No. 12)
Unique sites:
1 Sr 0.2463 0.0000 0.2423 (multiplicity 4)  3 Cl 3.24-3.25, 3 Cd 3.32-3.33
2 Cd 0.0000 0.0000 0.5000 (multiplicity 2)  6 Sr 3.32-3.33
3 Cl 0.0000 0.5000 0.0000 (multiplicity 2)  6 Sr 3.24-3.25

=====

A geometry-optimized Sr2CdCl structure, computed with PBE.

Values from the calculation:
* distance to the lowest polymorph of the same formula: 93 meV/atom
* formation energy from raw total energies: -86.95 kJ/mol of atoms
* total moment: 0.00 Bohr magnetons per cell
* E: -2.43 eV/atom
* crystal system: tetragonal

Cell lengths 3.8382, 3.8382, 8.7010 Å; angles 90.00, 90.00, 90.00 degrees
With the nearest neighbours (Å) after each atom.
Space group P4/mmm (No. 123)
Unique sites:
1 Sr 0.0000 0.0000 0.2426 (multiplicity 2)  4 Cd 3.44, 4 Cl 3.52, 4 Sr 3.84
2 Cd 0.5000 0.5000 0.0000 (multiplicity 1)  8 Sr 3.44, 4 Cd 3.84
3 Cl 0.5000 0.5000 0.5000 (multiplicity 1)  8 Sr 3.52, 4 Cl 3.84

=====

A geometry-optimized Sr2CdCl structure, computed with PBE.

Values from the calculation:
* distance to the lowest polymorph of the same formula: 709 meV/atom
* formation energy from raw total energies: -27.56 kJ/mol of atoms
* total moment: 1.53 Bohr magnetons per cell
* E: -1.82 eV/atom
* crystal system: cubic

Cell lengths 8.4192, 8.4192, 8.4192 Å; angles 90.00, 90.00, 90.00 degrees
With the nearest neighbours (Å) after each atom.
Space group F-43m (No. 216)
Unique sites:
1 Sr 0.0000 0.0000 0.0000 (multiplicity 4)  4 Cd 3.65, 4 Sr 3.65
2 Sr 0.2500 0.2500 0.2500 (multiplicity 4)  4 Cl 3.65, 4 Sr 3.65
3 Cd 0.2500 0.2500 0.7500 (multiplicity 4)  4 Cl 3.65, 4 Sr 3.65
4 Cl 0.0000 0.0000 0.5000 (multiplicity 4)  4 Sr 3.65, 4 Cd 3.65

=====

A geometry-optimized Sr2Cd2Cl structure, computed with PBE.

Values from the calculation:
* distance to the lowest polymorph of the same formula: 346 meV/atom
* formation energy from raw total energies: -38.62 kJ/mol of atoms
* total moment: 0.00 Bohr magnetons per cell
* E: -1.81 eV/atom
* crystal system: tetragonal

Cell lengths 6.4058, 6.4058, 9.2704 Å; angles 90.00, 90.00, 90.00 degrees
With the nearest neighbours (Å) after each atom.
Space group I4/mmm (No. 139)
Unique sites:
1 Sr 0.0000 0.5000 0.2500 (multiplicity 4)  4 Cd 3.34
2 Cd 0.0000 0.0000 0.1480 (multiplicity 4)  1 Cd 2.74
3 Cl 0.0000 0.0000 0.5000 (multiplicity 2)  2 Cd 3.26

=====

A geometry-optimized Sr2Cd2Cl structure, computed with PBE.

Values from the calculation:
* distance to the lowest polymorph of the same formula: 0 meV/atom
* formation energy from raw total energies: -72.04 kJ/mol of atoms
* total moment: 0.00 Bohr magnetons per cell
* E: -2.15 eV/atom
* crystal system: tetragonal

Cell lengths 8.2179, 8.2179, 5.2709 Å; angles 90.00, 90.00, 90.00 degrees
With the nearest neighbours (Å) after each atom.
Space group P4/mbm (No. 127)
Unique sites:
1 Sr 0.1806 0.3194 0.0000 (multiplicity 4)  2 Cl 3.02
2 Cd 0.1219 0.6219 0.5000 (multiplicity 4)  1 Cd 2.83
3 Cl 0.0000 0.0000 0.0000 (multiplicity 2)  4 Sr 3.02

=====

- What is the distance to the lowest polymorph of the same formula in the first record?
  180 meV/atom